(1)
{"formula": "MnAlIn2", "functional": "GGA-PBE", "state": "optimized geometry", "lattice_angstrom": [[3.0459, 0.0000, 0.0000], [0.0000, 3.0459, 0.0000], [0.0000, 0.0000, 8.6091]], "species": ["Mn", "Al", "In", "In"], "fractional_positions": [[0.0000, 0.0000, 0.0000], [0.5000, 0.5000, 0.1749], [0.0000, 0.0000, 0.4525], [0.5000, 0.5000, 0.7760]], "energy_ev_per_cell": -17.92, "space_group": "P4mm, No. 99", "formation_enthalpy_0k_ev_per_atom": 0.1164}



(2)
{"formula": "TbZrSc2As4", "functional": "GGA-PBE", "state": "optimized geometry", "lattice_angstrom": [[6.7938, 0.0000, 0.0000], [0.0000, 3.9408, 0.0000], [-2.2640, 0.0000, 6.4423]], "species": ["Tb", "Zr", "Sc", "Sc", "As", "As", "As", "As"], "fractional_positions": [[0.0000, 0.0000, 0.0000], [0.0000, 0.5000, 0.5000], [0.5000, 0.0000, 0.5000], [0.5000, 0.5000, 0.0000], [0.2562, 0.0000, 0.7449], [0.2614, 0.5000, 0.2613], [0.7386, 0.5000, 0.7387], [0.7438, 0.0000, 0.2551]], "energy_ev_per_cell": -55.25, "space_group": "P2/m, No. 10", "formation_enthalpy_0k_ev_per_atom": -1.3511}



(3)
{"formula": "CaHfCuPd", "functional": "GGA-PBE", "state": "optimized geometry", "lattice_angstrom": [[6.7586, 0.0000, 0.0000], [0.0000, 6.7586, 0.0000], [0.0000, 0.0000, 6.7586]], "species": ["Ca", "Ca", "Ca", "Ca", "Hf", "Hf", "Hf", "Hf", "Cu", "Cu", "Cu", "Cu", "Pd", "Pd", "Pd", "Pd"], "fractional_positions": [[0.0000, 0.0000, 0.0000], [0.0000, 0.5000, 0.5000], [0.5000, 0.0000, 0.5000], [0.5000, 0.5000, 0.0000], [0.0000, 0.0000, 0.5000], [0.0000, 0.5000, 0.0000], [0.5000, 0.0000, 0.0000], [0.5000, 0.5000, 0.5000], [0.2500, 0.2500, 0.7500], [0.2500, 0.7500, 0.2500], [0.7500, 0.2500, 0.2500], [0.7500, 0.7500, 0.7500], [0.2500, 0.2500, 0.2500], [0.2500, 0.7500, 0.7500], [0.7500, 0.2500, 0.7500], [0.7500, 0.7500, 0.2500]], "energy_ev_per_cell": -88.74, "space_group": "F-43m, No. 216", "formation_enthalpy_0k_ev_per_atom": -0.2349}